First-principles (GGA-PBE) data for an optimized crystal structure of NaTl2Hg, as listed in Alexandria.

Theoretical density ... 8.4 g cm⁻³
DOS at the Fermi energy ... 0.4649 states/eV per atom
Magnetic moment ... 0.00 μB/cell
Calculated formation energy ... -6.2 kJ/mol of atoms

Cell and atoms, written as CIF:
```
data_NaTl2Hg
_chemical_formula_sum 'Na3 Tl6 Hg3'
_cell_length_a 5.1619
_cell_length_b 5.1619
_cell_length_c 16.1739
_cell_angle_alpha 90.00
_cell_angle_beta 90.00
_cell_angle_gamma 120.00
_space_group_name_H-M_alt 'R 3 m'
_space_group_IT_number 160
_space_group_name_Hall 'R 3 -2"'
loop_
_atom_site_label
_atom_site_type_symbol
_atom_site_fract_x
_atom_site_fract_y
_atom_site_fract_z
Na1 Na 0.0000 0.0000 0.0000
Tl1 Tl 0.0000 0.0000 0.5742
Tl2 Tl 0.0000 0.0000 0.7821
Hg1 Hg 0.0000 0.0000 0.1958
```

***

First-principles (GGA-PBE) data for an optimized crystal structure of Na3Tl2Hg6, as listed in Alexandria.

Theoretical density ... 9.0 g cm⁻³
DOS at the Fermi energy ... 0.3148 states/eV per atom
Magnetic moment ... 0.00 μB/cell
E above lowest polymorph ... 0.0 meV per atom
Calculated formation energy ... -11.6 kJ/mol of atoms

Cell and atoms, written as CIF:
```
data_Na3Tl2Hg6
_chemical_formula_sum 'Na6 Tl4 Hg12'
_cell_length_a 8.9708
_cell_length_b 16.6096
_cell_length_c 4.1813
_cell_angle_alpha 90.00
_cell_angle_beta 90.00
_cell_angle_gamma 90.00
_space_group_name_H-M_alt 'C m m m'
_space_group_IT_number 65
_space_group_name_Hall '-C 2 2'
loop_
_atom_site_label
_atom_site_type_symbol
_atom_site_fract_x
_atom_site_fract_y
_atom_site_fract_z
Na1 Na 0.0000 0.0000 0.0000
Na2 Na 0.0000 0.2689 0.5000
Tl1 Tl 0.2207 0.5000 0.5000
Hg1 Hg 0.0000 0.4062 0.0000
Hg2 Hg 0.1815 0.1631 0.0000
```

***

First-principles (GGA-PBE) data for an optimized crystal structure of Na2Tl6Hg, as listed in Alexandria.

Theoretical density ... 8.8 g cm⁻³
DOS at the Fermi energy ... 0.4594 states/eV per atom
Magnetic moment ... 0.00 μB/cell
E above lowest polymorph ... 41.3 meV per atom
Calculated formation energy ... -3.5 kJ/mol of atoms

Cell and atoms, written as CIF:
```
data_Na2Tl6Hg
_chemical_formula_sum 'Na4 Tl12 Hg2'
_cell_length_a 12.3697
_cell_length_b 6.4165
_cell_length_c 7.4749
_cell_angle_alpha 90.00
_cell_angle_beta 110.38
_cell_angle_gamma 90.00
_space_group_name_H-M_alt 'C 1 2/m 1'
_space_group_IT_number 12
loop_
_space_group_symop_operation_xyz
'x,y,z'
'-x,-y,-z'
'-x,y,-z'
'x,-y,z'
'x+1/2,y+1/2,z'
'-x+1/2,-y+1/2,-z'
'-x+1/2,y+1/2,-z'
'x+1/2,-y+1/2,z'
loop_
_atom_site_label
_atom_site_type_symbol
_atom_site_fract_x
_atom_site_fract_y
_atom_site_fract_z
Na1 Na 0.1368 0.0000 0.1555
Tl1 Tl 0.0961 0.2454 0.7173
Tl2 Tl 0.1910 0.5000 0.3986
Hg1 Hg 0.0000 0.5000 0.0000
```

***

First-principles (GGA-PBE) data for an optimized crystal structure of Na3Tl3Hg2, as listed in Alexandria.

Theoretical density ... 8.1 g cm⁻³
DOS at the Fermi energy ... 0.5085 states/eV per atom
Magnetic moment ... 0.00 μB/cell
E above lowest polymorph ... 0.0 meV per atom
Calculated formation energy ... -13.3 kJ/mol of atoms

Cell and atoms, written as CIF:
```
data_Na3Tl3Hg2
_chemical_formula_sum 'Na6 Tl6 Hg4'
_cell_length_a 17.9512
_cell_length_b 5.0061
_cell_length_c 5.1313
_cell_angle_alpha 90.00
_cell_angle_beta 106.50
_cell_angle_gamma 90.00
_space_group_name_H-M_alt 'C 1 2/m 1'
_space_group_IT_number 12
loop_
_space_group_symop_operation_xyz
'x,y,z'
'-x,-y,-z'
'-x,y,-z'
'x,-y,z'
'x+1/2,y+1/2,z'
'-x+1/2,-y+1/2,-z'
'-x+1/2,y+1/2,-z'
'x+1/2,-y+1/2,z'
loop_
_atom_site_label
_atom_site_type_symbol
_atom_site_fract_x
_atom_site_fract_y
_atom_site_fract_z
Na1 Na 0.0000 0.0000 0.0000
Na2 Na 0.1386 0.0000 0.6385
Tl1 Tl 0.0000 0.5000 0.5000
Tl2 Tl 0.1316 0.5000 0.1296
Hg1 Hg 0.2467 0.0000 0.2459
```

***

First-principles (GGA-PBE) data for an optimized crystal structure of Na2Tl2Hg, as listed in Alexandria.

Theoretical density ... 7.2 g cm⁻³
DOS at the Fermi energy ... 0.3342 states/eV per atom
Magnetic moment ... 0.00 μB/cell
E above lowest polymorph ... 207.1 meV per atom
Calculated formation energy ... 4.3 kJ/mol of atoms

Cell and atoms, written as CIF:
```
data_Na2Tl2Hg
_chemical_formula_sum 'Na4 Tl4 Hg2'
_cell_length_a 4.3651
_cell_length_b 4.3651
_cell_length_c 15.8908
_cell_angle_alpha 90.00
_cell_angle_beta 90.00
_cell_angle_gamma 90.00
_space_group_name_H-M_alt 'I 4/m m m'
_space_group_IT_number 139
_space_group_name_Hall '-I 4 2'
loop_
_atom_site_label
_atom_site_type_symbol
_atom_site_fract_x
_atom_site_fract_y
_atom_site_fract_z
Na1 Na 0.0000 0.5000 0.2500
Tl1 Tl 0.0000 0.0000 0.0958
Hg1 Hg 0.0000 0.0000 0.5000
```

***

First-principles (GGA-PBE) data for an optimized crystal structure of Na10TlHg4, as listed in Alexandria.

Theoretical density ... 4.1 g cm⁻³
DOS at the Fermi energy ... 0.4849 states/eV per atom
Magnetic moment ... 0.00 μB/cell
Calculated formation energy ... -8.5 kJ/mol of atoms

Cell and atoms, written as CIF:
```
data_Na10TlHg4
_chemical_formula_sum 'Na20 Tl2 Hg8'
_cell_length_a 11.7430
_cell_length_b 11.7430
_cell_length_c 7.3151
_cell_angle_alpha 90.00
_cell_angle_beta 90.00
_cell_angle_gamma 90.00
_space_group_name_H-M_alt 'I 4/m'
_space_group_IT_number 87
_space_group_name_Hall '-I 4'
loop_
_atom_site_label
_atom_site_type_symbol
_atom_site_fract_x
_atom_site_fract_y
_atom_site_fract_z
Na1 Na 0.0000 0.5000 0.2500
Na2 Na 0.1012 0.2017 0.2486
Tl1 Tl 0.0000 0.0000 0.5000
Hg1 Hg 0.0996 0.6997 0.0000
```